## NaP3Cl (GGA-PBE)

Data for a geometry-optimized NaP3Cl structure. Values from VASP.

Properties
Space group: Pm-3m (221)
Magnetization: 0.156 μB per atom
Energy relative to the lowest polymorph listed for this composition: 0.5428 eV per atom
Formation energy from raw total energies: 1.582 eV/atom

```
&SYSTEM
  ibrav = 0, nat = 5, ntyp = 3
/
ATOMIC_SPECIES
Na 22.99 Na.upf
P 30.97 P.upf
Cl 35.45 Cl.upf
CELL_PARAMETERS angstrom
4.963 0.000 0.000
0.000 4.963 0.000
0.000 0.000 4.963
ATOMIC_POSITIONS crystal
Na 0.000 0.000 0.000
P 0.000 0.000 0.500
P 0.000 0.500 0.000
P 0.500 0.000 0.000
Cl 0.500 0.500 0.500
```